DFT (PBE with a Hubbard U) results for Mn2CrGaO6 after structural relaxation.

Values from the calculation:
Crystal system: triclinic
Calculated volume in Å³/cell: 105.0
Calculated total energy in eV/atom: -7.23
Calculated density in g/cm³: 5.179
SG: No. 1

extended XYZ file:
```
10
Lattice="-4.541 -2.325 0.451 -0.152 -4.848 1.508 -1.634 -1.027 5.072" Properties=species:S:1:pos:R:3 pbc="T T T"
Mn -3.167 -4.148 3.316
Mn -1.637 -1.105 4.820
Cr -4.741 -6.421 4.368
Ga -1.564 -2.324 0.961
O -3.175 -2.758 1.948
O -1.521 -5.243 2.765
O -4.714 -5.431 2.558
O -3.288 -5.182 4.989
O -4.500 -2.957 4.310
O -1.766 -3.022 4.532
```